No. 1
Crystalline MgCrGa2 at its relaxed geometry, computed with GGA-PBE.

POSCAR file:
```
MgCrGa2
1.0
4.0421 0.0000 0.0000
0.0000 4.0421 0.0000
0.0000 0.0000 3.9127
Mg Cr Ga
1 1 2
Cartesian
0.0000 0.0000 0.0000
2.0210 2.0210 0.0000
0.0000 2.0210 1.9564
2.0210 0.0000 1.9564
```

## Properties
- calculated density (g cm⁻³) = 5.60
- energy relative to the elements (eV per atom) = 0.00
- energy (eV/atom) = -4.31



No. 2
Crystalline MgCrGa2Ni at its relaxed geometry, computed with GGA-PBE.

POSCAR file:
```
MgCrGa2Ni
1.0
4.5155 0.0000 0.0000
0.0000 4.5155 0.0000
0.0000 0.0000 4.7047
Mg Cr Ga Ni
1 1 2 1
Cartesian
0.0000 0.0000 0.0000
2.2577 2.2577 0.0000
0.0000 2.2577 2.3523
2.2577 0.0000 2.3523
0.0000 0.0000 2.3523
```

## Properties
- calculated density (g cm⁻³) = 4.75
- energy relative to the elements (eV per atom) = 0.25
- energy (eV/atom) = -4.36
- E above lowest polymorph (meV/atom) = 0



No. 3
Crystalline MgCrGa2Ni at its relaxed geometry, computed with GGA-PBE.

POSCAR file:
```
MgCrGa2Ni
1.0
4.4536 0.0000 0.0000
0.0000 4.4536 0.0000
0.0000 0.0000 4.5267
Mg Cr Ga Ni
1 1 2 1
Cartesian
0.0000 0.0000 0.0000
2.2268 2.2268 0.0000
0.0000 2.2268 2.2634
2.2268 0.0000 2.2634
2.2268 2.2268 2.2634
```

## Properties
- calculated density (g cm⁻³) = 5.08
- energy relative to the elements (eV per atom) = 0.49
- energy (eV/atom) = -4.12
- E above lowest polymorph (meV/atom) = 237



No. 4
Crystalline MgCrGaPd at its relaxed geometry, computed with GGA-PBE.

POSCAR file:
```
MgCrGaPd
1.0
0.0000 3.1311 3.1311
3.1311 0.0000 3.1311
3.1311 3.1311 0.0000
Mg Cr Ga Pd
1 1 1 1
Cartesian
0.0000 0.0000 0.0000
1.5655 1.5655 1.5655
3.1311 3.1311 3.1311
4.6966 4.6966 4.6966
```

## Properties
- calculated density (g cm⁻³) = 6.83
- energy relative to the elements (eV per atom) = -0.25
- energy (eV/atom) = -5.11



No. 5
Crystalline MgCrGaRh2 at its relaxed geometry, computed with GGA-PBE.

POSCAR file:
```
MgCrGaRh2
1.0
4.4869 0.0000 0.0000
0.0000 4.4869 0.0000
0.0000 0.0000 4.5998
Mg Cr Ga Rh
1 1 1 2
Cartesian
0.0000 0.0000 0.0000
2.2435 2.2435 2.2999
2.2435 2.2435 0.0000
0.0000 2.2435 2.2999
2.2435 0.0000 2.2999
```

## Properties
- calculated density (g cm⁻³) = 6.31
- energy relative to the elements (eV per atom) = 0.46
- energy (eV/atom) = -5.33



No. 6
Crystalline MgCrGaRh at its relaxed geometry, computed with GGA-PBE.

POSCAR file:
```
MgCrGaRh
1.0
0.0000 3.0923 3.0923
3.0923 0.0000 3.0923
3.0923 3.0923 0.0000
Mg Cr Ga Rh
1 1 1 1
Cartesian
0.0000 0.0000 0.0000
4.6385 4.6385 4.6385
3.0923 3.0923 3.0923
1.5462 1.5462 1.5462
```

## Properties
- calculated density (g cm⁻³) = 6.99
- energy relative to the elements (eV per atom) = -0.27
- energy (eV/atom) = -5.67



No. 7
Crystalline MgCr2GaRu at its relaxed geometry, computed with GGA-PBE.

POSCAR file:
```
MgCr2GaRu
1.0
4.4230 0.0000 0.0000
0.0000 4.4230 0.0000
0.0000 0.0000 4.5576
Mg Cr Ga Ru
1 2 1 1
Cartesian
0.0000 0.0000 0.0000
0.0000 2.2115 2.2788
2.2115 0.0000 2.2788
2.2115 2.2115 2.2788
2.2115 2.2115 0.0000
```

## Properties
- calculated density (g cm⁻³) = 5.57
- energy relative to the elements (eV per atom) = 1.29
- energy (eV/atom) = -5.34



No. 8
Crystalline Mg2CrGa3S8 at its relaxed geometry, computed with GGA-PBE.

POSCAR file:
```
Mg2CrGa3S8
1.0
3.6511 2.1080 5.9791
-3.6511 2.1080 5.9791
0.0000 -4.2160 5.9791
Mg Cr Ga S
2 1 3 8
Cartesian
0.0000 0.0000 2.2514
0.0000 0.0000 15.6857
0.0000 0.0000 8.9686
-1.8256 -1.0540 5.9791
-1.8256 1.0540 11.9581
0.0000 2.1080 5.9790
0.0000 0.0000 4.6880
0.0000 -1.8939 7.4468
-1.6402 0.9470 7.4468
-1.6402 -0.9470 10.4904
1.6402 0.9470 7.4468
1.6402 -0.9470 10.4904
0.0000 1.8939 10.4904
0.0000 0.0000 13.2492
```

## Properties
- calculated density (g cm⁻³) = 3.41
- formation energy without anion corrections (eV/atom) = -0.822
- energy (eV/atom) = -4.74



No. 9
Crystalline MgSc2CrGa at its relaxed geometry, computed with GGA-PBE.

POSCAR file:
```
MgSc2CrGa
1.0
5.1732 0.0000 0.0000
0.0000 5.1732 0.0000
0.0000 0.0000 4.6878
Mg Sc Cr Ga
1 2 1 1
Cartesian
0.0000 0.0000 0.0000
0.0000 2.5866 0.0000
2.5866 0.0000 0.0000
0.0000 0.0000 2.3439
2.5866 2.5866 2.3439
```

## Properties
- calculated density (g cm⁻³) = 3.12
- energy relative to the elements (eV per atom) = 0.93
- energy (eV/atom) = -4.46



No. 10
Crystalline MgCrGa2Si at its relaxed geometry, computed with GGA-PBE.

POSCAR file:
```
MgCrGa2Si
1.0
4.7449 0.0000 0.0000
0.0000 4.7449 0.0000
0.0000 0.0000 4.8443
Mg Cr Ga Si
1 1 2 1
Cartesian
0.0000 0.0000 0.0000
2.3724 2.3724 0.0000
0.0000 2.3724 2.4222
2.3724 0.0000 2.4222
0.0000 0.0000 2.4222
```

## Properties
- calculated density (g cm⁻³) = 3.71
- formation energy without anion corrections (eV/atom) = 1.163
- energy (eV/atom) = -3.38



No. 11
Crystalline Mg2TiCrGa at its relaxed geometry, computed with GGA-PBE.

POSCAR file:
```
Mg2TiCrGa
1.0
5.3882 0.0000 0.0000
0.0000 5.3882 0.0000
0.0000 0.0000 4.1474
Mg Ti Cr Ga
2 1 1 1
Cartesian
0.0000 2.6941 0.0000
2.6941 0.0000 0.0000
0.0000 0.0000 0.0000
0.0000 0.0000 2.0737
2.6941 2.6941 2.0737
```

## Properties
- calculated density (g cm⁻³) = 3.01
- energy relative to the elements (eV per atom) = 0.99
- energy (eV/atom) = -3.76



No. 12
Crystalline MnCrGa2 at its relaxed geometry, computed with GGA-PBE.

POSCAR file:
```
MnCrGa2
1.0
1.3587 0.7845 8.4153
-1.3587 0.7845 8.4153
0.0000 -1.5689 8.4153
Mn Cr Ga
1 1 2
Cartesian
0.0000 0.0000 0.0000
0.0000 0.0000 12.6229
0.0000 0.0000 6.3194
0.0000 0.0000 18.9265
```

## Properties
- calculated density (g cm⁻³) = 7.60
- energy relative to the elements (eV per atom) = 0.11
- energy (eV/atom) = -6.10



No. 13
Crystalline MnCrGa at its relaxed geometry, computed with GGA-PBE.

POSCAR file:
```
MnCrGa
1.0
-1.4452 1.4452 4.3472
1.4452 -1.4452 4.3472
1.4452 1.4452 -4.3472
Mn Cr Ga
1 1 1
Cartesian
0.0000 0.0000 0.0000
0.0000 0.0000 5.5657
0.0000 0.0000 2.8042
```

## Properties
- calculated density (g cm⁻³) = 8.08
- energy relative to the elements (eV per atom) = -0.08
- energy (eV/atom) = -7.35
- E above lowest polymorph (meV/atom) = 0



No. 14
Crystalline Mn3CrGa3 at its relaxed geometry, computed with GGA-PBE.

POSCAR file:
```
Mn3CrGa3
1.0
3.5321 -4.0701 0.0000
3.5321 4.0701 0.0000
0.0000 0.0000 7.0644
Mn Cr Ga
6 2 6
Cartesian
3.5321 2.2215 0.0000
3.5321 2.2123 3.5322
2.1071 0.0000 3.5322
4.9570 0.0000 3.5322
3.5321 -2.2123 3.5322
3.5321 -2.2215 0.0000
2.1472 0.0000 0.0000
4.9169 0.0000 0.0000
0.0000 0.0000 1.7470
0.0000 0.0000 5.3175
1.7660 2.0350 1.7596
1.7660 2.0350 5.3049
1.7660 -2.0350 1.7596
1.7660 -2.0350 5.3049
```

## Properties
- calculated density (g cm⁻³) = 6.97
- energy relative to the elements (eV per atom) = 0.20
- energy (eV/atom) = -6.40



No. 15
Crystalline Mn3CrGa at its relaxed geometry, computed with GGA-PBE.

POSCAR file:
```
Mn3CrGa
1.0
4.3142 0.0000 0.0000
0.0000 4.3142 0.0000
0.0000 0.0000 4.3142
Mn Cr Ga
3 1 1
Cartesian
0.0000 0.0000 2.1571
0.0000 2.1571 0.0000
2.1571 0.0000 0.0000
0.0000 0.0000 0.0000
2.1571 2.1571 2.1571
```

## Properties
- calculated density (g cm⁻³) = 5.93
- energy relative to the elements (eV per atom) = 0.91
- energy (eV/atom) = -7.12
- E above lowest polymorph (meV/atom) = 0



No. 16
Crystalline MnCrGa2 at its relaxed geometry, computed with GGA-PBE.

POSCAR file:
```
MnCrGa2
1.0
0.0000 2.9915 2.9915
2.9915 0.0000 2.9915
2.9915 2.9915 0.0000
Mn Cr Ga
1 1 2
Cartesian
0.0000 0.0000 0.0000
2.9915 2.9915 2.9915
1.4958 1.4958 1.4958
4.4873 4.4873 4.4873
```

## Properties
- calculated density (g cm⁻³) = 7.64
- energy relative to the elements (eV per atom) = 0.01
- energy (eV/atom) = -6.20



No. 17
Crystalline Mn2Cr3Ga2 at its relaxed geometry, computed with GGA-PBE.

POSCAR file:
```
Mn2Cr3Ga2
1.0
2.0426 1.1793 5.8597
-2.0426 1.1793 5.8597
0.0000 -2.3585 5.8597
Mn Cr Ga
2 3 2
Cartesian
0.0000 0.0000 3.7961
0.0000 0.0000 13.7829
0.0000 0.0000 6.1060
0.0000 0.0000 8.7895
0.0000 0.0000 11.4731
0.0000 0.0000 1.3223
0.0000 0.0000 16.2568
```

## Properties
- calculated density (g cm⁻³) = 7.95
- energy relative to the elements (eV per atom) = -0.02
- energy (eV/atom) = -7.62



No. 18
Crystalline Mn9CrGa2 at its relaxed geometry, computed with GGA-PBE.

POSCAR file:
```
Mn9CrGa2
1.0
4.0569 -2.3232 0.0000
4.0569 2.3232 0.0000
-2.6129 0.0000 7.8320
Mn Cr Ga
9 1 2
Cartesian
0.0000 0.0000 0.0000
-1.2280 0.0000 5.8790
0.7311 1.1056 5.8638
0.0278 0.0000 3.7939
4.7698 1.1056 1.9682
0.7311 -1.1056 5.8638
5.4731 0.0000 4.0382
4.7698 -1.1056 1.9682
6.7289 0.0000 1.9530
2.7504 0.0000 3.9160
2.7035 0.0000 0.6715
2.7974 0.0000 7.1605
```

## Properties
- calculated density (g cm⁻³) = 7.71
- energy relative to the elements (eV per atom) = 0.23
- energy (eV/atom) = -7.96



No. 19
Crystalline Mn3Cr2Ga at its relaxed geometry, computed with GGA-PBE.

POSCAR file:
```
Mn3Cr2Ga
1.0
2.8437 0.0000 0.0000
0.0000 2.8437 0.0000
0.0000 0.0000 8.5659
Mn Cr Ga
3 2 1
Cartesian
0.0000 0.0000 0.0000
0.0000 0.0000 2.7004
0.0000 0.0000 5.8655
1.4219 1.4219 1.4400
1.4219 1.4219 7.1259
1.4219 1.4219 4.2829
```

## Properties
- calculated density (g cm⁻³) = 8.12
- energy relative to the elements (eV per atom) = -0.04
- energy (eV/atom) = -8.33



No. 20
Crystalline MnCrGa2 at its relaxed geometry, computed with GGA-PBE.

POSCAR file:
```
MnCrGa2
1.0
-3.3739 3.3739 2.6957
3.3739 -3.3739 2.6957
3.3739 3.3739 -2.6957
Mn Cr Ga
2 2 4
Cartesian
0.0000 0.0000 0.0000
0.0000 3.3739 1.3478
3.3739 0.0000 1.3478
0.0000 0.0000 2.6957
5.0608 1.6629 -0.6739
1.6629 1.6869 0.6739
-1.6869 1.7110 2.0218
1.7110 1.6869 3.3696
```

## Properties
- calculated density (g cm⁻³) = 6.67
- energy relative to the elements (eV per atom) = 0.40
- energy (eV/atom) = -5.82



No. 21
Crystalline MnCrGa2 at its relaxed geometry, computed with GGA-PBE.

POSCAR file:
```
MnCrGa2
1.0
3.0546 0.0000 0.0000
0.0000 3.0546 0.0000
0.0000 0.0000 5.7900
Mn Cr Ga
1 1 2
Cartesian
0.0000 0.0000 0.0000
0.0000 0.0000 2.8950
1.5273 1.5273 1.4237
1.5273 1.5273 4.3663
```

## Properties
- calculated density (g cm⁻³) = 7.57
- energy relative to the elements (eV per atom) = 0.02
- energy (eV/atom) = -6.19



No. 22
Crystalline Mn9Cr4Ga11 at its relaxed geometry, computed with GGA-PBE.

POSCAR file:
```
Mn9Cr4Ga11
1.0
6.1715 -9.8826 0.0000
6.1715 9.8826 0.0000
0.0000 0.0000 2.6639
Mn Cr Ga
9 4 11
Cartesian
0.0000 0.0000 0.0000
4.8930 5.6260 0.0000
4.7893 1.7995 0.0000
7.4499 5.6260 0.0000
4.7893 -1.7995 0.0000
7.5536 1.7995 0.0000
4.8930 -5.6260 0.0000
7.5536 -1.7995 0.0000
7.4499 -5.6260 0.0000
2.1749 1.9562 0.0000
2.1749 -1.9562 0.0000
10.1680 1.9562 0.0000
10.1680 -1.9562 0.0000
3.5184 3.7100 1.3320
6.1715 7.5252 1.3320
3.2161 0.0000 1.3320
6.1715 3.6943 1.3320
3.5184 -3.7100 1.3320
6.1715 0.0000 1.3320
8.8245 3.7100 1.3320
6.1715 -3.6943 1.3320
9.1269 0.0000 1.3320
6.1715 -7.5252 1.3320
8.8245 -3.7100 1.3320
```

## Properties
- calculated density (g cm⁻³) = 7.51
- energy relative to the elements (eV per atom) = 0.05
- energy (eV/atom) = -6.38



No. 23
Crystalline MnCrGa2 at its relaxed geometry, computed with GGA-PBE.

POSCAR file:
```
MnCrGa2
1.0
1.3667 0.7891 8.3801
-1.3667 0.7891 8.3801
0.0000 -1.5781 8.3801
Mn Cr Ga
1 1 2
Cartesian
0.0000 0.0000 0.0000
0.0000 0.0000 20.9666
0.0000 0.0000 10.4888
0.0000 0.0000 14.6782
```

## Properties
- calculated density (g cm⁻³) = 7.55
- energy relative to the elements (eV per atom) = 0.07
- energy (eV/atom) = -6.14



No. 24
Crystalline MnCr2Ga at its relaxed geometry, computed with GGA-PBE.

POSCAR file:
```
MnCr2Ga
1.0
2.9722 0.0000 0.0000
0.0000 2.9722 0.0000
0.0000 0.0000 5.8559
Mn Cr Ga
1 2 1
Cartesian
0.0000 0.0000 0.0000
1.4861 1.4861 1.3834
1.4861 1.4861 4.4725
0.0000 0.0000 2.9279
```

## Properties
- calculated density (g cm⁻³) = 7.34
- energy relative to the elements (eV per atom) = 0.04
- energy (eV/atom) = -7.82



No. 25
Crystalline MnCrGa at its relaxed geometry, computed with GGA-PBE.

POSCAR file:
```
MnCrGa
1.0
4.0692 0.0000 0.0000
-2.0346 3.5240 0.0000
0.0000 0.0000 2.5962
Mn Cr Ga
1 1 1
Cartesian
0.0000 0.0000 0.0000
0.0000 2.3493 2.0042
2.0346 1.1747 0.9330
```

## Properties
- calculated density (g cm⁻³) = 7.88
- energy relative to the elements (eV per atom) = 0.00
- energy (eV/atom) = -7.27
- E above lowest polymorph (meV/atom) = 86



No. 26
Crystalline MnCrGa at its relaxed geometry, computed with GGA-PBE.

POSCAR file:
```
MnCrGa
1.0
4.6110 -1.4297 0.0000
4.6110 1.4297 0.0000
-1.9625 0.0000 5.5788
Mn Cr Ga
2 2 2
Cartesian
-0.3989 0.0000 1.2984
7.6585 0.0000 4.2804
1.2772 0.0000 5.2240
5.9825 0.0000 0.3548
2.3401 0.0000 2.2635
4.9195 0.0000 3.3153
```

## Properties
- calculated density (g cm⁻³) = 7.98
- energy relative to the elements (eV per atom) = 0.02
- energy (eV/atom) = -7.25
- E above lowest polymorph (meV/atom) = 100



No. 27
Crystalline MnCr2Ga at its relaxed geometry, computed with GGA-PBE.

POSCAR file:
```
MnCr2Ga
1.0
3.5133 0.0000 0.0000
0.0000 3.5133 0.0000
0.0000 0.0000 4.0004
Mn Cr Ga
1 2 1
Cartesian
0.0000 0.0000 0.0000
0.0000 1.7567 2.0002
1.7567 0.0000 2.0002
1.7567 1.7567 0.0000
```

## Properties
- calculated density (g cm⁻³) = 7.69
- energy relative to the elements (eV per atom) = 0.08
- energy (eV/atom) = -7.78